Entry from Alexandria: an optimized crystal structure of NbHNO2 (PBE).

Cell: 3.0082 4.6670 3.0082 Å, 90.00 90.00 90.00°
With the nearest neighbours (Å) after each atom.
Atoms (fractional coordinates):
N: 0.5000 0.5000 0.5000  4 Nb 2.13
O: 0.5000 0.0000 0.0000  2 H 1.50
O: 0.0000 0.0000 0.5000  2 H 1.50
H: 0.0000 0.0000 0.0000  4 O 1.50
Nb: 0.0000 0.5000 0.0000  4 N 2.13, 2 H 2.33

N(E_F) = 1.6 states/eV/f.u.


Entry from Alexandria: an optimized crystal structure of Ga2SnH (PBE).

Cell: 4.6923 4.6923 4.6923 Å, 60.00 60.00 60.00°
With the nearest neighbours (Å) after each atom.
Atoms (fractional coordinates):
Ga: 0.2500 0.2500 0.2500  4 Sn 2.87, 4 H 2.87
Ga: 0.7500 0.7500 0.7500  4 H 2.87, 4 Sn 2.87
Sn: 0.5000 0.5000 0.5000  8 Ga 2.87
H: 0.0000 0.0000 0.0000  8 Ga 2.87

N(E_F) = 1.8 states/eV/f.u.
E above lowest polymorph = 205 meV/atom


Entry from Alexandria: an optimized crystal structure of LuZrAgRh (PBE).

Cell: 4.8232 4.8232 4.8232 Å, 60.00 60.00 60.00°
With the nearest neighbours (Å) after each atom.
Atoms (fractional coordinates):
Lu: 0.0000 0.0000 0.0000  4 Rh 2.95, 4 Ag 2.95
Zr: 0.5000 0.5000 0.5000  4 Rh 2.95, 4 Ag 2.95
Ag: 0.2500 0.2500 0.2500  4 Zr 2.95, 4 Lu 2.95
Rh: 0.7500 0.7500 0.7500  4 Zr 2.95, 4 Lu 2.95

N(E_F) = 3.2 states/eV/f.u.
E_form = -0.48 eV/atom


Entry from Alexandria: an optimized crystal structure of Tl2Ga2Cl (PBE).

Cell: 8.2657 8.2657 3.8134 Å, 90.00 90.00 90.00°
With the nearest neighbours (Å) after each atom.
Atoms (fractional coordinates):
Tl: 0.3099 0.1901 0.5000  6 Ga 2.97-3.22
Tl: 0.1901 0.6901 0.5000  6 Ga 2.97-3.22
Tl: 0.6901 0.8099 0.5000  6 Ga 2.97-3.22
Tl: 0.8099 0.3099 0.5000  6 Ga 2.97-3.22
Cl: 0.0000 0.0000 0.0000  4 Ga 3.32, 8 Tl 3.56
Cl: 0.5000 0.5000 0.0000  4 Ga 3.32, 8 Tl 3.56
Ga: 0.1156 0.3844 0.0000  1 Ga 2.70, 2 Tl 2.97
Ga: 0.3844 0.8844 0.0000  1 Ga 2.70, 2 Tl 2.97
Ga: 0.8844 0.6156 0.0000  1 Ga 2.70, 2 Tl 2.97
Ga: 0.6156 0.1156 0.0000  1 Ga 2.70, 2 Tl 2.97

N(E_F) = 1.8 states/eV/f.u.
raw formation energy = -3.4 kcal/mol of atoms
E above lowest polymorph = 43 meV/atom


Entry from Alexandria: an optimized crystal structure of Rb2MgRuI6 (PBE).

Cell: 8.0842 8.0842 8.0831 Å, 60.00 60.00 90.00°
With the nearest neighbours (Å) after each atom.
Atoms (fractional coordinates):
Ru: 0.0000 0.0000 0.0000  6 I 2.76
I: 0.7586 0.7586 0.4827  1 Ru 2.76, 1 Mg 2.96
I: 0.2413 0.2413 0.0000  1 Ru 2.76, 1 Mg 2.96
I: 0.7587 0.7587 0.0000  1 Ru 2.76, 1 Mg 2.96
I: 0.7587 0.2413 0.0000  1 Ru 2.76, 1 Mg 2.96
I: 0.2414 0.2414 0.5173  1 Ru 2.76, 1 Mg 2.96
I: 0.2413 0.7587 0.0000  1 Ru 2.76, 1 Mg 2.96
Mg: 0.5000 0.5000 0.0000  6 I 2.96
Rb: 0.7500 0.2500 0.5000  12 I 4.04
Rb: 0.2500 0.7500 0.5000  12 I 4.04

N(E_F) = 2.3 states/eV/f.u.
raw formation energy = -16.8 kcal/mol of atoms


Entry from Alexandria: an optimized crystal structure of KRhCl2 (PBE).

Cell: 5.1017 5.1017 5.1017 Å, 60.00 60.00 60.00°
With the nearest neighbours (Å) after each atom.
Atoms (fractional coordinates):
Cl: 0.2500 0.2500 0.2500  4 Cl 3.12, 4 K 3.12
Cl: 0.0000 0.0000 0.0000  4 Rh 3.12, 4 Cl 3.12
K: 0.5000 0.5000 0.5000  4 Cl 3.12, 4 Rh 3.12
Rh: 0.7500 0.7500 0.7500  4 K 3.12, 4 Cl 3.12

N(E_F) = 6.2 states/eV/f.u.
raw formation energy = 2.4 kcal/mol of atoms
E above lowest polymorph = 885 meV/atom


E
In order: -30.67; -11.81; -25.18; -26.72; -29.39; -11.73
Unit: eV/cell